The following is a PBE-GGA calculation of crystalline ThPaIn2 at its relaxed geometry, from Alexandria via LeMat-Bulk.

Properties
E above lowest polymorph   14 meV per atom
Magnetization   0.00 μB/f.u.
DOS at the Fermi energy   5.602 states/eV per cell
Space-group type   P4/mmm, No. 123

a b c (Å): 4.7712 4.7712 4.7113
angles (deg): 90.00 90.00 90.00
Element x y z (fractional)
Th (0.0000, 0.0000, 0.0000)
Pa (0.5000, 0.5000, 0.0000)
In (0.0000, 0.5000, 0.5000)
In (0.5000, 0.0000, 0.5000)

***

The following is a PBE-GGA calculation of crystalline Li4MnPd5 at its relaxed geometry, from Alexandria via LeMat-Bulk.

Properties
Total DFT energy (no corrections)   -46.734 eV per cell
Magnetization   4.65 μB/f.u.
DOS at the Fermi energy   2.574 states/eV per cell
Space-group type   P4/mmm, No. 123

a b c (Å): 3.0030 3.0030 15.2482
angles (deg): 90.00 90.00 90.00
Element x y z (fractional)
Li (0.0000, 0.0000, 0.0972)
Li (0.0000, 0.0000, 0.2911)
Li (0.0000, 0.0000, 0.7089)
Li (0.0000, 0.0000, 0.9028)
Mn (0.0000, 0.0000, 0.5000)
Pd (0.5000, 0.5000, 0.0000)
Pd (0.5000, 0.5000, 0.1956)
Pd (0.5000, 0.5000, 0.3935)
Pd (0.5000, 0.5000, 0.6065)
Pd (0.5000, 0.5000, 0.8044)

***

The following is a PBE-GGA calculation of crystalline Ni2WS at its relaxed geometry, from Alexandria via LeMat-Bulk.

Properties
Uncorrected formation energy   -74 meV/atom
Magnetization   0.00 μB/f.u.
DOS at the Fermi energy   7.095 states/eV per cell
Space-group type   Cm, No. 8

a b c (Å): 5.6573 5.6573 8.1804
angles (deg): 127.54 127.54 31.22
Element x y z (fractional)
Ni (0.0000, 0.0000, 0.0000)
Ni (0.0645, 0.0645, 0.3568)
Ni (0.3535, 0.3535, 0.0566)
Ni (0.7222, 0.7222, 0.3039)
W (0.3691, 0.3691, 0.6460)
W (0.6877, 0.6877, 0.6954)
S (0.0982, 0.0982, 0.8418)
S (0.4064, 0.4064, 0.3714)